A plane-wave DFT calculation with PBE-GGA was carried out for a relaxed InRe2Cl crystal.

```
InRe2Cl
1.0
5.595 -1.443 0.000
5.595 1.443 0.000
-0.431 0.000 4.499
In Re Cl
1 2 1
Direct
0.000 0.000 0.000 In
0.289 0.289 0.780 Re
0.711 0.711 0.220 Re
0.500 0.500 0.500 Cl
```

Results
Space-group type ... No. 12


A plane-wave DFT calculation with PBE-GGA was carried out for a relaxed InReCl2 crystal.

```
InReCl2
1.0
3.117 0.000 0.000
0.000 3.117 0.000
0.000 0.000 8.502
In Re Cl
1 1 2
Direct
0.000 0.000 0.000 In
0.500 0.500 0.221 Re
0.000 0.000 0.391 Cl
0.500 0.500 0.781 Cl
```

Results
Space-group type ... No. 99


A plane-wave DFT calculation with PBE-GGA was carried out for a relaxed InReCl crystal.

```
InReCl
1.0
-1.472 1.472 7.323
1.472 -1.472 7.323
1.472 1.472 -7.323
In Re Cl
1 1 1
Direct
0.000 0.000 0.000 In
0.349 0.349 0.000 Re
0.745 0.745 0.000 Cl
```

Results
Space-group type ... No. 107


A plane-wave DFT calculation with PBE-GGA was carried out for a relaxed InRe2Cl crystal.

```
InRe2Cl
1.0
1.470 0.849 10.077
-1.470 0.849 10.077
0.000 -1.698 10.077
In Re Cl
1 2 1
Direct
0.000 0.000 0.000 In
0.483 0.483 0.483 Re
0.748 0.748 0.748 Re
0.213 0.213 0.213 Cl
```

Results
Space-group type ... No. 160


A plane-wave DFT calculation with PBE-GGA was carried out for a relaxed InRe2Cl crystal.

```
InRe2Cl
1.0
1.463 0.845 8.874
-1.463 0.845 8.874
0.000 -1.689 8.874
In Re Cl
1 2 1
Direct
0.000 0.000 0.000 In
0.246 0.246 0.246 Re
0.754 0.754 0.754 Re
0.500 0.500 0.500 Cl
```

Results
Space-group type ... No. 166


A plane-wave DFT calculation with PBE-GGA was carried out for a relaxed InReCl2 crystal.

```
InReCl2
1.0
3.090 0.000 0.000
0.000 3.090 0.000
0.000 0.000 9.241
In Re Cl
1 1 2
Direct
0.000 0.000 0.000 In
0.000 0.000 0.500 Re
0.500 0.500 0.325 Cl
0.500 0.500 0.675 Cl
```

Results
Space-group type ... No. 123


| no. | magnetization (Bohr magnetons per cell) | total energy (eV/atom) | polymorph energy (0 for the lowest one) (eV per atom) |
| --- | --- | --- | --- |
| 1 | 0.0 | -6.593 | 0.673 |
| 2 | 0.0 | -4.425 | 0.318 |
| 3 | 0.9 | -4.948 | 0.210 |
| 4 | 0.0 | -7.066 | 0.200 |
| 5 | 0.5 | -6.483 | 0.782 |
| 6 | 2.7 | -4.052 | 0.691 |